# Ac3DyPb5

An optimized crystal structure of Ac3DyPb5 (GGA-PBE, Alexandria via LeMat-Bulk).

abc: 6.9065 10.0964 10.0964
angles: 120.00 90.00 90.00
Last column: nearest neighbours and their distance in Å.
Sites, in units of the cell vectors:
Pb: 0.7500 0.2750 0.2750  2 Dy 3.27, 5 Ac 3.45-3.62
Pb: 0.2500 0.7250 0.7250  2 Dy 3.27, 5 Ac 3.45-3.62
Pb: 0.5000 0.3333 0.6667  2 Pb 3.45, 6 Ac 3.59
Pb: 0.7500 0.0000 0.7250  2 Dy 3.27, 5 Ac 3.45-3.62
Pb: 0.0000 0.6667 0.3333  2 Pb 3.45, 6 Ac 3.59
Pb: 0.2500 0.0000 0.2750  2 Dy 3.27, 5 Ac 3.45-3.62
Pb: 0.5000 0.6667 0.3333  2 Pb 3.45, 6 Ac 3.59
Pb: 0.7500 0.7250 0.0000  2 Dy 3.27, 5 Ac 3.45-3.62
Pb: 0.2500 0.2750 0.0000  2 Dy 3.27, 5 Ac 3.45-3.62
Pb: 0.0000 0.3333 0.6667  2 Pb 3.45, 6 Ac 3.59
Dy: 0.5000 0.0000 0.0000  6 Pb 3.27, 2 Dy 3.45
Dy: 0.0000 0.0000 0.0000  6 Pb 3.27, 2 Dy 3.45
Ac: 0.2500 0.6174 0.0000  9 Pb 3.45-3.62
Ac: 0.7500 0.0000 0.3826  9 Pb 3.45-3.62
Ac: 0.2500 0.0000 0.6174  9 Pb 3.45-3.62
Ac: 0.7500 0.3826 0.0000  9 Pb 3.45-3.62
Ac: 0.2500 0.3826 0.3826  9 Pb 3.45-3.62
Ac: 0.7500 0.6174 0.6174  9 Pb 3.45-3.62

## Properties
- energy of formation (meV/atom) = -487
- V (Å³/atom) = 33.87
- VASP energy (eV/atom) = -4.428
- SG = No. 193

---

# Ac3DyPb3

An optimized crystal structure of Ac3DyPb3 (GGA-PBE, Alexandria via LeMat-Bulk).

abc: 8.3000 8.3000 8.7682
angles: 92.46 92.46 112.60
Last column: nearest neighbours and their distance in Å.
Sites, in units of the cell vectors:
Pb: 0.8644 0.5159 0.7050  1 Dy 3.01, 1 Ac 3.30
Pb: 0.9317 0.9317 0.2109  2 Dy 3.02-3.10, 1 Ac 3.28
Pb: 0.0683 0.0683 0.7891  2 Dy 3.02-3.10, 1 Ac 3.28
Pb: 0.5159 0.8644 0.7050  1 Dy 3.01, 1 Ac 3.30
Pb: 0.1356 0.4841 0.2950  1 Dy 3.01, 1 Ac 3.30
Pb: 0.4841 0.1356 0.2950  1 Dy 3.01, 1 Ac 3.30
Dy: 0.7589 0.7589 0.9038  4 Pb 3.01-3.10
Dy: 0.2411 0.2411 0.0962  4 Pb 3.01-3.10
Ac: 0.8376 0.1624 0.5000  6 Pb 3.30-3.49
Ac: 0.2350 0.7650 0.0000  6 Pb 3.47-3.81
Ac: 0.6063 0.6063 0.3387  3 Pb 3.28-3.64, 1 Ac 3.56
Ac: 0.1624 0.8376 0.5000  6 Pb 3.30-3.49
Ac: 0.7650 0.2350 0.0000  6 Pb 3.47-3.81
Ac: 0.3937 0.3937 0.6613  3 Pb 3.28-3.64, 1 Ac 3.56

## Properties
- energy of formation (meV/atom) = -333
- V (Å³/atom) = 39.71
- VASP energy (eV/atom) = -4.341
- SG = No. 12

---

# AcDy5Pb6

An optimized crystal structure of AcDy5Pb6 (GGA-PBE, Alexandria via LeMat-Bulk).

abc: 8.8115 6.2390 8.3070
angles: 67.94 79.56 61.14
Last column: nearest neighbours and their distance in Å.
Sites, in units of the cell vectors:
Pb: 0.7319 0.0991 0.3491  5 Dy 3.18-3.29, 1 Ac 3.44
Pb: 0.2410 0.2855 0.0000  5 Dy 3.15-3.26, 1 Ac 3.37
Pb: 0.2681 0.9009 0.6509  5 Dy 3.18-3.29, 1 Ac 3.44
Pb: 0.2681 0.5518 0.3491  5 Dy 3.18-3.29, 1 Ac 3.44
Pb: 0.7319 0.4482 0.6509  5 Dy 3.18-3.29, 1 Ac 3.44
Pb: 0.7590 0.7145 0.0000  5 Dy 3.15-3.26, 1 Ac 3.37
Dy: 0.5000 0.5000 0.0000  6 Pb 3.15-3.26
Dy: 0.5000 0.1535 0.6930  6 Pb 3.17-3.25
Dy: 0.5000 0.8465 0.3070  6 Pb 3.17-3.25
Dy: 0.0000 0.3272 0.3456  6 Pb 3.18-3.29
Dy: 0.0000 0.6728 0.6544  6 Pb 3.18-3.29
Ac: 0.0000 0.0000 0.0000  6 Pb 3.37-3.44

## Properties
- energy of formation (meV/atom) = -428
- V (Å³/atom) = 30.89
- VASP energy (eV/atom) = -4.542
- SG = No. 12

---

# AcDyPb2

An optimized crystal structure of AcDyPb2 (GGA-PBE, Alexandria via LeMat-Bulk).

abc: 4.9073 4.9073 7.7135
angles: 71.45 71.45 60.00
Last column: nearest neighbours and their distance in Å.
Sites, in units of the cell vectors:
Dy: 0.4955 0.4955 0.5135  6 Pb 3.19-3.30
Pb: 0.0936 0.0936 0.7191  1 Pb 3.16, 3 Dy 3.19, 3 Ac 3.43
Pb: 0.2404 0.2404 0.2787  1 Pb 3.16, 3 Dy 3.30, 3 Ac 3.52
Ac: 0.6705 0.6705 0.9886  6 Pb 3.43-3.52, 1 Dy 3.77

## Properties
- energy of formation (meV/atom) = -341
- V (Å³/atom) = 37.41
- VASP energy (eV/atom) = -4.373
- SG = No. 160

---

# AcDyPb2

An optimized crystal structure of AcDyPb2 (GGA-PBE, Alexandria via LeMat-Bulk).

abc: 4.6279 5.2756 5.2756
angles: 90.00 90.00 90.00
Last column: nearest neighbours and their distance in Å.
Sites, in units of the cell vectors:
Pb: 0.0000 0.0000 0.5000  4 Ac 3.51, 4 Dy 3.51, 4 Pb 3.73
Pb: 0.0000 0.5000 0.0000  4 Ac 3.51, 4 Dy 3.51, 4 Pb 3.73
Ac: 0.5000 0.0000 0.0000  8 Pb 3.51, 4 Dy 3.73
Dy: 0.5000 0.5000 0.5000  8 Pb 3.51, 4 Ac 3.73

## Properties
- energy of formation (meV/atom) = -412
- V (Å³/atom) = 32.20
- VASP energy (eV/atom) = -4.444
- SG = No. 123

---

# AcDyPb2

An optimized crystal structure of AcDyPb2 (GGA-PBE, Alexandria via LeMat-Bulk).

abc: 3.6970 6.2489 6.2489
angles: 108.18 90.00 90.00
Last column: nearest neighbours and their distance in Å.
Sites, in units of the cell vectors:
Pb: 0.5000 0.0773 0.4692  2 Dy 3.11-3.16, 1 Pb 3.32
Pb: 0.5000 0.5308 0.9227  2 Dy 3.11-3.16, 1 Pb 3.32
Dy: 0.5000 0.5694 0.4306  4 Pb 3.11-3.16
Ac: 0.0000 0.0376 0.9624  8 Pb 3.61-3.67, 2 Ac 3.70

## Properties
- energy of formation (meV/atom) = -319
- V (Å³/atom) = 34.29
- VASP energy (eV/atom) = -4.351
- SG = No. 38

---

# AcDyPdPb

An optimized crystal structure of AcDyPdPb (GGA-PBE, Alexandria via LeMat-Bulk).

abc: 5.4549 5.4549 5.4549
angles: 60.00 60.00 60.00
Last column: nearest neighbours and their distance in Å.
Sites, in units of the cell vectors:
Pb: 0.5000 0.5000 0.5000  4 Dy 3.34, 4 Ac 3.34
Ac: 0.2500 0.2500 0.2500  4 Pb 3.34, 4 Pd 3.34
Dy: 0.7500 0.7500 0.7500  4 Pd 3.34, 4 Pb 3.34
Pd: 0.0000 0.0000 0.0000  4 Ac 3.34, 4 Dy 3.34

## Properties
- energy of formation (meV/atom) = -532
- V (Å³/atom) = 28.69
- VASP energy (eV/atom) = -4.935
- SG = No. 216

---

# AcPmDyPb

An optimized crystal structure of AcPmDyPb (GGA-PBE, Alexandria via LeMat-Bulk).

abc: 5.7482 5.7482 5.7482
angles: 60.00 60.00 60.00
Last column: nearest neighbours and their distance in Å.
Sites, in units of the cell vectors:
Pm: 0.0000 0.0000 0.0000  4 Dy 3.52, 4 Pb 3.52
Ac: 0.5000 0.5000 0.5000  4 Pb 3.52, 4 Dy 3.52
Dy: 0.7500 0.7500 0.7500  4 Ac 3.52, 4 Pm 3.52
Pb: 0.2500 0.2500 0.2500  4 Ac 3.52, 4 Pm 3.52

## Properties
- energy of formation (meV/atom) = -101
- V (Å³/atom) = 33.58
- VASP energy (eV/atom) = -4.393
- SG = No. 216

---

The highest V belongs to which entry?
Ac3DyPb3

---

Copy entry 1 word for word.
# Ac3DyPb5

An optimized crystal structure of Ac3DyPb5 (GGA-PBE, Alexandria via LeMat-Bulk).

abc: 6.9065 10.0964 10.0964
angles: 120.00 90.00 90.00
Last column: nearest neighbours and their distance in Å.
Sites, in units of the cell vectors:
Pb: 0.7500 0.2750 0.2750  2 Dy 3.27, 5 Ac 3.45-3.62
Pb: 0.2500 0.7250 0.7250  2 Dy 3.27, 5 Ac 3.45-3.62
Pb: 0.5000 0.3333 0.6667  2 Pb 3.45, 6 Ac 3.59
Pb: 0.7500 0.0000 0.7250  2 Dy 3.27, 5 Ac 3.45-3.62
Pb: 0.0000 0.6667 0.3333  2 Pb 3.45, 6 Ac 3.59
Pb: 0.2500 0.0000 0.2750  2 Dy 3.27, 5 Ac 3.45-3.62
Pb: 0.5000 0.6667 0.3333  2 Pb 3.45, 6 Ac 3.59
Pb: 0.7500 0.7250 0.0000  2 Dy 3.27, 5 Ac 3.45-3.62
Pb: 0.2500 0.2750 0.0000  2 Dy 3.27, 5 Ac 3.45-3.62
Pb: 0.0000 0.3333 0.6667  2 Pb 3.45, 6 Ac 3.59
Dy: 0.5000 0.0000 0.0000  6 Pb 3.27, 2 Dy 3.45
Dy: 0.0000 0.0000 0.0000  6 Pb 3.27, 2 Dy 3.45
Ac: 0.2500 0.6174 0.0000  9 Pb 3.45-3.62
Ac: 0.7500 0.0000 0.3826  9 Pb 3.45-3.62
Ac: 0.2500 0.0000 0.6174  9 Pb 3.45-3.62
Ac: 0.7500 0.3826 0.0000  9 Pb 3.45-3.62
Ac: 0.2500 0.3826 0.3826  9 Pb 3.45-3.62
Ac: 0.7500 0.6174 0.6174  9 Pb 3.45-3.62

## Properties
- energy of formation (meV/atom) = -487
- V (Å³/atom) = 33.87
- VASP energy (eV/atom) = -4.428
- SG = No. 193